## AlV3Mo3 (PBE-GGA)

Data for a relaxed AlV3Mo3 crystal.

Cell: 5.355 6.688 6.749 Å, 118.38 97.84 97.25°
Space group P-1 (No. 2)
Symmetry-distinct sites (fractional):
1 Al 0.032 0.272 0.423 x2
2 V 0.118 0.848 0.277 x2
3 V 0.253 0.008 0.010 x2
4 V 0.465 0.715 0.571 x2
5 Mo 0.179 0.431 0.148 x2
6 Mo 0.321 0.579 0.855 x2
7 Mo 0.380 0.135 0.707 x2

Computed properties:
**DOS(E_F)**: 11.66 states/eV per cell
**DFT formation energy**: -0.93 eV per formula unit